Entry 1:
Compound: AlSi3Ni2
Source: Alexandria via LeMat-Bulk
Functional: PBE
Structure: optimized geometry

Values from the calculation:
ΔE_f (raw)	0.30	eV per atom
theoretical density	4.59	Mg/m³
energy	-4.97	eV/atom

Unit cell a=4.7125 b=4.7125 c=8.6073 alpha=90.00 beta=90.00 gamma=120.00
Space group P6_3/mmc (No. 194)
Symmetry-distinct sites (fractional):
Al (0.0000, 0.0000, 0.0000) (multiplicity 2)
Si (0.1697, 0.3395, 0.2500) (multiplicity 6)
Ni (0.3333, 0.6667, 0.5994) (multiplicity 4)

=====

Entry 2:
Compound: Tb5HoEr3
Source: Alexandria via LeMat-Bulk
Functional: PBE
Structure: optimized geometry

Values from the calculation:
ΔE to the lowest computed polymorph	0	meV/atom
theoretical density	8.23	Mg/m³
energy	-4.29	eV/atom

Unit cell a=16.973 b=6.169 c=11.277 alpha=90.00 beta=92.14 gamma=90.00
Space group C2/c (No. 15)
Symmetry-distinct sites (fractional):
Tb (0.000, 0.087, 0.250) (multiplicity 4)
Tb (0.161, 0.224, 0.574) (multiplicity 8)
Tb (0.178, 0.294, 0.245) (multiplicity 8)
Ho (0.000, 0.397, 0.750) (multiplicity 4)
Er (0.000, 0.500, 0.000) (multiplicity 4)
Er (0.162, 0.237, 0.918) (multiplicity 8)